The following is a PBE with a Hubbard U calculation of crystalline Sr2ScFeAsO3 at its relaxed geometry, from Alexandria.

Final energy   -6.634 eV per atom
D(E_F)   0.096 states/eV per atom
Crystal system   tetragonal
Symmetry   P4/nmm (129)

Cell and atoms, written as CIF:
```
data_Sr2ScFeAsO3
_chemical_formula_sum 'Sr4 Sc2 Fe2 As2 O6'
_cell_length_a 4.121
_cell_length_b 4.121
_cell_length_c 16.382
_cell_angle_alpha 90.00
_cell_angle_beta 90.00
_cell_angle_gamma 90.00
_symmetry_space_group_name_H-M 'P 1'
_symmetry_Int_Tables_number 1
loop_
_symmetry_equiv_pos_as_xyz
'x,y,z'
loop_
_atom_site_label
_atom_site_type_symbol
_atom_site_fract_x
_atom_site_fract_y
_atom_site_fract_z
Sr1 Sr 0.500 0.000 0.801
Sr2 Sr 0.000 0.500 0.199
Sr3 Sr 0.500 0.000 0.583
Sr4 Sr 0.000 0.500 0.417
Sc1 Sc 0.000 0.500 0.686
Sc2 Sc 0.500 0.000 0.314
Fe1 Fe 0.500 0.500 0.000
Fe2 Fe 0.000 0.000 0.000
As1 As 0.000 0.500 0.901
As2 As 0.500 0.000 0.099
O1 O 0.500 0.500 0.705
O2 O 0.000 0.000 0.705
O3 O 0.000 0.000 0.295
O4 O 0.500 0.500 0.295
O5 O 0.000 0.500 0.564
O6 O 0.500 0.000 0.436
```